Density functional theory data (GGA-PBE) for an optimized crystal structure of KLiCdRu2.

POSCAR file:
```
KLiCdRu2
1.0
-1.394 3.977 -1.509
-2.760 -2.208 -3.268
-3.392 -0.081 2.920
Ru K Li Cd
2 1 1 1
Cartesian
-1.696 -0.040 1.460
-0.697 1.988 -0.755
-1.380 -1.104 -1.634
0.000 0.000 0.000
-3.773 0.844 -0.929
```

Calculated values
Fermi-level density of states: 0.873 states/eV per atom
Electronic total energy: -16.26 eV per cell
SG: P4/mmm (123)
Formation enthalpy at 0 K: 28.66 kcal/mol of atoms
V: 96.4 Å³ per cell